P) A geometry-optimized NaH3Au structure, computed with GGA-PBE.

Cell lengths 3.9053, 3.9053, 16.4154 Å; angles 90.00, 90.00, 90.00 degrees
Closest atoms and distances in Å follow each position.
Space group I-4m2 (No. 119)
Unique sites:
Na (0.0000, 0.0000, 0.0000) x2  4 H 2.12
Na (0.0000, 0.5000, 0.2500) x2  8 H 2.43-2.70
H (0.0000, 0.0000, 0.3380) x4  2 Au 1.95
H (0.0000, 0.4015, 0.0873) x8  1 H 0.77
Au (0.0000, 0.5000, 0.6604) x4  2 H 1.95

=====

Q) A geometry-optimized NaH3Au structure, computed with GGA-PBE.

Cell lengths 5.0729, 5.0729, 15.1171 Å; angles 90.00, 90.00, 120.00 degrees
Closest atoms and distances in Å follow each position.
Space group R-3m (No. 166, hexagonal axes)
Unique sites:
Na (0.0000, 0.0000, 0.1089) x6  9 H 2.57-2.65
H (0.0152, 0.5076, 0.0816) x18  1 Au 1.77
Au (0.0000, 0.0000, 0.3110) x6  3 H 1.77

=====

R) A geometry-optimized NaH3Au structure, computed with GGA-PBE.

Cell lengths 3.7352, 5.7438, 5.7853 Å; angles 90.00, 90.00, 90.00 degrees
Closest atoms and distances in Å follow each position.
Space group Amm2 (No. 38)
Unique sites:
Na (0.0000, 0.0000, 0.0000) x2  4 H 2.23
H (0.0000, 0.0000, 0.5017) x2  2 Au 1.87
H (0.5000, 0.2121, 0.0023) x4  1 Au 1.65
Au (0.5000, 0.0000, 0.5019) x2  2 H 1.65

=====

It is R) that is most stable; the runner-up trails by 9.8 kJ/mol of atoms.

=====

P) A geometry-optimized NaH3Au structure, computed with GGA-PBE.

Cell lengths 3.7878, 4.7486, 6.2332 Å; angles 90.00, 107.40, 90.00 degrees
Closest atoms and distances in Å follow each position.
Space group P2_1/m (No. 11)
Unique sites:
Na (0.1408, 0.2500, 0.2867) x2  7 H 2.26-2.49
H (0.0649, 0.7500, 0.1318) x2  2 Au 1.90
H (0.3315, 0.0017, 0.6560) x4  1 Au 1.67
Au (0.4289, 0.2500, 0.8556) x2  2 H 1.67

=====

Q) A geometry-optimized NaH3Au structure, computed with GGA-PBE.

Cell lengths 5.5436, 7.2452, 5.9616 Å; angles 90.00, 90.00, 90.00 degrees
Closest atoms and distances in Å follow each position.
Space group Pnma (No. 62)
Unique sites:
Na (0.0000, 0.0000, 0.0000) x4  6 H 2.36-2.54
H (0.0953, 0.0856, 0.3722) x8  1 Au 1.67
H (0.2223, 0.2500, 0.7851) x4  1 Au 1.75
Au (0.0311, 0.7500, 0.4696) x4  3 H 1.67-1.75

=====

It is P) that is most stable; the runner-up trails by 2.1 kJ/mol of atoms.